Here is a geometry-optimized Re7Ni8 structure from OQMD via LeMat-Bulk. Energies are from GGA-PBE.

Unit cell a=8.9235 b=8.9235 c=4.8502 alpha=90.00 beta=90.00 gamma=90.00
Each line ends with the local moment (μB).
Positions (direct):
Ni  0.7322  0.0678  0.0000  0.04
Ni  0.4588  0.1307  0.0000  0.09
Ni  0.9322  0.2678  0.0000  0.04
Ni  0.1307  0.4588  0.0000  0.09
Ni  0.8693  0.5412  0.0000  0.09
Ni  0.0678  0.7322  0.0000  0.04
Ni  0.5412  0.8693  0.0000  0.09
Ni  0.2678  0.9322  0.0000  0.04
Ni  0.6307  0.0412  0.5000  0.10
Ni  0.4322  0.2322  0.5000  0.04
Ni  0.9588  0.3693  0.5000  0.09
Ni  0.2322  0.4322  0.5000  0.04
Ni  0.7678  0.5678  0.5000  0.04
Ni  0.0412  0.6307  0.5000  0.09
Ni  0.5678  0.7678  0.5000  0.04
Ni  0.3693  0.9588  0.5000  0.10
Re  0.0000  0.0000  0.0000  -0.01
Re  0.3969  0.3969  0.0000  0.04
Re  0.6031  0.6031  0.0000  0.04
Re  0.6856  0.3144  0.2493  0.03
Re  0.3144  0.6856  0.2493  0.03
Re  0.1856  0.1856  0.2507  0.03
Re  0.8144  0.8144  0.2507  0.03
Re  0.8969  0.1031  0.5000  0.05
Re  0.5000  0.5000  0.5000  -0.01
Re  0.1031  0.8969  0.5000  0.05
Re  0.1856  0.1856  0.7493  0.03
Re  0.8144  0.8144  0.7493  0.03
Re  0.6856  0.3144  0.7507  0.03
Re  0.3144  0.6856  0.7507  0.03

Computed properties:
- energy of formation (eV/atom) = 0.1125
- SG = No. 136


Here is a geometry-optimized BaFeHgTe3 structure from OQMD via LeMat-Bulk. Energies are from GGA-PBE.

Unit cell a=4.4386 b=7.7895 c=11.4753 alpha=90.00 beta=90.00 gamma=73.45
Each line ends with the local moment (μB).
Positions (direct):
Ba  0.2264  0.5471  0.2500  0.03
Ba  0.7736  0.4529  0.7500  0.03
Fe  0.0000  0.0000  0.0000  3.33
Fe  0.0000  0.0000  0.5000  3.33
Hg  0.5298  0.9405  0.2500  0.02
Hg  0.4702  0.0595  0.7500  0.02
Te  0.6253  0.7494  0.0384  0.08
Te  0.9112  0.1777  0.2500  0.09
Te  0.6253  0.7494  0.4616  0.08
Te  0.3747  0.2506  0.5384  0.08
Te  0.0888  0.8223  0.7500  0.09
Te  0.3747  0.2506  0.9616  0.08

Computed properties:
- energy (eV/atom) = -3.718
- SG = No. 63


Here is a geometry-optimized GaAu structure from OQMD via LeMat-Bulk. Energies are from GGA-PBE.

Unit cell a=7.1305 b=7.1305 c=8.6459 alpha=125.84 beta=125.84 gamma=33.13
Positions (direct):
Au  0.0000  0.0000  0.0000
Au  0.2669  0.2669  0.2194
Au  0.1173  0.1173  0.4394
Au  0.8827  0.8827  0.5606
Au  0.7331  0.7331  0.7806
Ga  0.8698  0.8698  0.1623
Ga  0.6365  0.6365  0.2481
Ga  0.5000  0.5000  0.5000
Ga  0.3635  0.3635  0.7519
Ga  0.1302  0.1302  0.8377

Computed properties:
- energy (eV/atom) = -3.313
- SG = No. 12


Here is a geometry-optimized AcLuPO structure from OQMD via LeMat-Bulk. Energies are from GGA-PBE.

Unit cell a=4.4419 b=4.4419 c=9.2523 alpha=90.00 beta=90.00 gamma=90.00
Positions (direct):
Ac  0.0000  0.5000  0.1249
Ac  0.5000  0.0000  0.8751
Lu  0.0000  0.0000  0.5000
Lu  0.5000  0.5000  0.5000
O  0.0000  0.0000  0.0000
O  0.5000  0.5000  0.0000
P  0.5000  0.0000  0.3320
P  0.0000  0.5000  0.6680

Computed properties:
- energy (eV/atom) = -6.788
- SG = No. 129